This record from Alexandria describes crystalline RbBa2WO5 at its relaxed geometry. The functional is GGA+U.

Cell: 4.155 6.626 7.189 Å, 117.44 106.80 90.00°
Each line ends with the local moment (μB).
Fractional positions:
W  0.500  0.000  0.000  0.91
O  0.621  0.332  0.241  0.01
O  0.621  0.909  0.241  0.01
O  0.000  0.000  0.000  0.04
O  0.379  0.091  0.759  0.01
Rb  0.000  0.500  0.000  0.00
O  0.379  0.668  0.759  0.01
Ba  0.223  0.223  0.447  0.00
Ba  0.777  0.777  0.553  0.00

Calculated values
DFT total energy ... -6.391 eV per atom